{"formula": "ReMoRu", "functional": "GGA-PBE", "state": "optimized geometry", "lattice_angstrom": [[-0.546, 1.296, -2.370], [-1.963, -0.248, 1.919], [1.972, 5.920, 2.784]], "species": ["Mo", "Ru", "Re"], "frac_coords": [[0.000, 0.000, 0.994], [0.333, 0.667, 0.663], [0.667, 0.333, 0.343]], "total_energy_ev_per_atom": -10.7205, "vol_a3_per_cell": 45, "e_above_lowest_polymorph_ev_per_atom": 0.0901, "e_form_mev_per_atom": 131}